(1)
Entry from the Alexandria database: a crystal of LiFeW2 relaxed with PBEsol (SCAN).

Computed properties:
**ΔE to the lowest computed polymorph**: 115 meV/atom
**Total DFT energy (no corrections)**: -39.486 eV per atom
**DFT formation energy**: 487.5 meV/atom

a b c (Å): 3.8032 3.6175 3.7827
angles (deg): 90.00 90.00 90.00
Site moments in Bohr magnetons follow the coordinates.
Fractional positions:
W1 0.5000 0.0000 0.5000  -0.16
W2 0.0000 0.0000 0.0000  -0.15
Li1 0.0000 0.5000 0.5000  -0.03
Fe1 0.5000 0.5000 0.0000  1.96

***

(2)
Entry from the Alexandria database: a crystal of LiFeW relaxed with PBEsol (SCAN).

Computed properties:
**ΔE to the lowest computed polymorph**: 0 meV/atom
**Total DFT energy (no corrections)**: -29.687 eV per atom
**DFT formation energy**: 382.1 meV/atom

a b c (Å): 2.5997 2.5997 6.7332
angles (deg): 97.30 97.30 110.01
Site moments in Bohr magnetons follow the coordinates.
Fractional positions:
W1 0.6557 0.6557 0.3114  -0.23
Li1 0.3403 0.3403 0.6806  -0.02
Fe1 0.0040 0.0040 0.0080  2.53

***

(3)
Entry from the Alexandria database: a crystal of LiFe3W relaxed with PBEsol (SCAN).

Computed properties:
**ΔE to the lowest computed polymorph**: 0 meV/atom
**Total DFT energy (no corrections)**: -24.161 eV per atom
**DFT formation energy**: 1132.8 meV/atom

a b c (Å): 3.7685 3.7685 3.7685
angles (deg): 90.00 90.00 90.00
Site moments in Bohr magnetons follow the coordinates.
Fractional positions:
Fe1 0.0000 0.0000 0.5000  0.35
Fe2 0.5000 0.0000 0.0000  0.35
Fe3 0.0000 0.5000 0.0000  0.35
W1 0.5000 0.5000 0.5000  -0.20
Li1 0.0000 0.0000 0.0000  -0.02

***

(4)
Entry from the Alexandria database: a crystal of LiFeW2 relaxed with PBEsol (SCAN).

Computed properties:
**ΔE to the lowest computed polymorph**: 0 meV/atom
**Total DFT energy (no corrections)**: -39.601 eV per atom
**DFT formation energy**: 372.4 meV/atom

a b c (Å): 2.6054 2.6054 8.9962
angles (deg): 90.00 90.00 109.69
Site moments in Bohr magnetons follow the coordinates.
Fractional positions:
W1 0.0000 0.0000 0.7308  -0.14
W2 0.0000 0.0000 0.2692  -0.14
Fe1 0.5000 0.5000 0.5000  2.37
Li1 0.5000 0.5000 0.0000  0.00

***

(5)
Entry from the Alexandria database: a crystal of LiFe3W relaxed with PBEsol (SCAN).

Computed properties:
**ΔE to the lowest computed polymorph**: 341 meV/atom
**Total DFT energy (no corrections)**: -23.819 eV per atom
**DFT formation energy**: 1474.3 meV/atom

a b c (Å): 4.4671 4.4671 4.4671
angles (deg): 90.00 90.00 90.00
Site moments in Bohr magnetons follow the coordinates.
Fractional positions:
W1 0.0000 0.0000 0.0000  -0.67
Li1 0.5000 0.5000 0.5000  0.00
Fe1 0.0000 0.5000 0.0000  2.27
Fe2 0.5000 0.0000 0.0000  2.27
Fe3 0.0000 0.0000 0.5000  2.27

***

(6)
Entry from the Alexandria database: a crystal of Li2ZnFe relaxed with PBEsol (SCAN).

Computed properties:
**Total DFT energy (no corrections)**: -9.035 eV per atom
**DFT formation energy**: 71.0 meV/atom

a b c (Å): 2.4915 4.4668 4.6447
angles (deg): 90.00 94.45 90.00
Site moments in Bohr magnetons follow the coordinates.
Fractional positions:
Li1 0.2482 0.0000 0.2576  -0.03
Li2 0.7518 0.0000 0.7424  -0.03
Zn1 0.5000 0.5000 0.0000  -0.06
Fe1 0.0000 0.5000 0.5000  2.70

***

(7)
Entry from the Alexandria database: a crystal of LiZn2Fe relaxed with PBEsol (SCAN).

Computed properties:
**Total DFT energy (no corrections)**: -11.848 eV per atom
**DFT formation energy**: 39.3 meV/atom

a b c (Å): 3.6547 3.6547 4.5400
angles (deg): 113.73 113.73 90.00
Site moments in Bohr magnetons follow the coordinates.
Fractional positions:
Li1 0.2500 0.7500 0.5000  0.00
Fe1 0.5000 0.5000 0.0000  2.53
Zn1 0.7500 0.2500 0.5000  -0.02
Zn2 0.0000 0.0000 0.0000  -0.06

***

(8)
Entry from the Alexandria database: a crystal of Li2ZnFe relaxed with PBEsol (SCAN).

Computed properties:
**Total DFT energy (no corrections)**: -8.981 eV per atom
**DFT formation energy**: 125.1 meV/atom

a b c (Å): 2.4156 4.9808 4.9808
angles (deg): 119.30 90.00 90.00
Site moments in Bohr magnetons follow the coordinates.
Fractional positions:
Zn1 0.5000 0.0000 0.0000  -0.03
Fe1 0.5000 0.5000 0.5000  2.72
Li1 0.0000 0.5000 0.0000  -0.03
Li2 0.0000 0.0000 0.5000  -0.03

***

Across the entries above, N(E_F) takes the values 2.69; 2.27; 2.51; 2.87; 4.90; 1.84; 2.70; 1.62 states/eV/f.u., respectively.